# 1
Here is a relaxed Ho4TeS3 crystal from Alexandria via LeMat-Bulk. Energies are from PBE-GGA.

Results
* N(E_F): 5.8 states/eV/cell
* E_form (uncorrected): -14.5 eV/f.u.
* magnetic moment: 0.00 μB/f.u.

The structure in POSCAR format:
```
Ho4TeS3
1.0
3.951 0.000 0.000
-1.976 3.422 0.000
0.000 0.000 26.684
Ho Te S
8 2 6
Cartesian
0.000 0.000 4.589
0.000 0.000 8.753
0.000 0.000 17.931
0.000 0.000 22.095
0.000 2.281 1.642
0.000 2.281 11.700
1.976 1.141 14.985
1.976 1.141 25.042
0.000 2.281 6.671
1.976 1.141 20.013
0.000 0.000 0.000
0.000 0.000 13.342
0.000 2.281 16.455
0.000 2.281 23.572
1.976 1.141 3.113
1.976 1.141 10.229
```

# 2
Here is a relaxed Er2Ga3Cu2 crystal from Alexandria via LeMat-Bulk. Energies are from PBE-GGA.

Results
* N(E_F): 9.4 states/eV/cell
* magnetic moment: 0.00 μB/f.u.
* energy of formation from the pure elements: -0.48 eV/atom
* polymorph energy (0 for the lowest one): 0 meV per atom

The structure in POSCAR format:
```
Er2Ga3Cu2
1.0
2.090 -9.021 0.000
2.090 9.021 0.000
0.000 0.000 6.895
Er Ga Cu
4 6 4
Cartesian
2.090 8.062 5.172
2.090 6.146 1.724
2.090 -6.146 5.172
2.090 -8.062 1.724
2.090 4.984 5.172
2.090 1.136 3.924
2.090 1.136 6.420
2.090 -1.136 0.476
2.090 -1.136 2.972
2.090 -4.984 1.724
2.090 3.457 0.420
2.090 3.457 3.028
2.090 -3.457 3.868
2.090 -3.457 6.476
```

# 3
Here is a relaxed Np4Ga12Re crystal from Alexandria via LeMat-Bulk. Energies are from PBE-GGA.

Results
* N(E_F): 44.2 states/eV/cell
* magnetic moment: 15.82 μB/f.u.
* energy of formation from the pure elements: -0.18 eV/atom

The structure in POSCAR format:
```
Np4Ga12Re
1.0
-4.312 4.312 4.312
4.312 -4.312 4.312
4.312 4.312 -4.312
Np Ga Re
4 12 1
Cartesian
2.156 2.156 -2.156
2.156 -2.156 2.156
-2.156 2.156 2.156
2.156 2.156 2.156
2.515 0.000 0.000
6.109 0.000 0.000
4.312 2.156 0.000
4.312 0.000 2.156
0.000 2.515 0.000
0.000 0.000 2.515
2.156 4.312 0.000
2.156 0.000 4.312
0.000 6.109 0.000
0.000 0.000 6.109
0.000 4.312 2.156
0.000 2.156 4.312
0.000 0.000 0.000
```

Copy entry 1 word for word.
Here is a relaxed Ho4TeS3 crystal from Alexandria via LeMat-Bulk. Energies are from PBE-GGA.

Results
* N(E_F): 5.8 states/eV/cell
* E_form (uncorrected): -14.5 eV/f.u.
* magnetic moment: 0.00 μB/f.u.

The structure in POSCAR format:
```
Ho4TeS3
1.0
3.951 0.000 0.000
-1.976 3.422 0.000
0.000 0.000 26.684
Ho Te S
8 2 6
Cartesian
0.000 0.000 4.589
0.000 0.000 8.753
0.000 0.000 17.931
0.000 0.000 22.095
0.000 2.281 1.642
0.000 2.281 11.700
1.976 1.141 14.985
1.976 1.141 25.042
0.000 2.281 6.671
1.976 1.141 20.013
0.000 0.000 0.000
0.000 0.000 13.342
0.000 2.281 16.455
0.000 2.281 23.572
1.976 1.141 3.113
1.976 1.141 10.229
```

- What is the magnetic moment in the second record?
  0.00 μB/f.u.

- Among the records above, which one has the lowest N(E_F)?
  Ho4TeS3